# NbInN (PBE, relaxed)
data_NbInN
_cell_length_a 3.081
_cell_length_b 3.081
_cell_length_c 10.794
_cell_angle_alpha 90.16
_cell_angle_beta 90.16
_cell_angle_gamma 90.00
_space_group_name_H-M_alt 'P 1'
_space_group_IT_number 1
loop_
_space_group_symop_operation_xyz
'x,y,z'
loop_
_atom_site_label
_atom_site_type_symbol
_atom_site_fract_x
_atom_site_fract_y
_atom_site_fract_z
_atom_site_occupancy
Nb1 Nb 0.249 0.249 0.405 1
Nb2 Nb 0.751 0.751 0.595 1
In1 In 0.253 0.253 0.113 1
In2 In 0.747 0.747 0.887 1
N1 N 0.251 0.251 0.610 1
N2 N 0.749 0.749 0.390 1
# crystal system: monoclinic
# ΔE to the lowest computed polymorph: 0 meV per atom
# calculated volume: 102.45 Å³/cell
# E_form (uncorrected): -49.5 kJ/mol of atoms